No. 1
Material: BaPtS6
Method: DFT, PBE
State: relaxed

Values from the calculation:
* formation energy (no corrections): -0.570 eV per atom
* space-group type: P-1, No. 2
* total DFT energy (no corrections): -4.661 eV/atom

```
BaPtS6
1.0
5.653 0.000 0.000
-0.809 5.965 0.000
-0.447 -2.746 7.349
Ba Pt S
1 1 6
Cartesian
0.000 0.000 0.000 Ba
2.422 2.982 0.000 Pt
0.223 3.035 0.863 S
1.202 1.665 4.076 S
1.556 2.146 6.027 S
2.841 1.073 1.322 S
3.195 1.554 3.272 S
4.174 0.184 6.486 S
```

=====

No. 2
Material: MnFe4Ni
Method: DFT, PBE
State: relaxed

Values from the calculation:
* space-group type: F-43m, No. 216
* total DFT energy (no corrections): -7.998 eV/atom
* formation energy from the elements: 0.136 eV/atom

```
MnFe4Ni
1.0
0.000 3.283 3.283
3.283 0.000 3.283
3.283 3.283 0.000
Mn Fe Ni
1 4 1
Cartesian
0.000 0.000 0.000 Mn
2.466 2.466 2.466 Fe
4.100 4.100 2.466 Fe
4.100 2.466 4.100 Fe
2.466 4.100 4.100 Fe
4.924 4.924 4.924 Ni
```

=====

No. 3
Material: Hg5Mo
Method: DFT, PBE
State: relaxed

Values from the calculation:
* space-group type: P6/mmm, No. 191
* relative energy among the computed polymorphs: 386.5 meV per atom
* total DFT energy (no corrections): -1.303 eV/atom
* formation energy from the elements: 0.754 eV/atom

```
Hg5Mo
1.0
5.627 0.000 0.000
-2.814 4.873 0.000
0.000 0.000 5.727
Hg Mo
5 1
Cartesian
-1.407 2.437 0.000 Hg
0.000 3.249 2.864 Hg
2.814 0.000 0.000 Hg
1.407 2.437 0.000 Hg
2.814 1.624 2.864 Hg
0.000 0.000 2.864 Mo
```

=====

No. 4
Material: BaGeIrPb
Method: DFT, PBE
State: relaxed

Values from the calculation:
* space-group type: P4/nmm, No. 129
* total DFT energy (no corrections): -5.238 eV/atom
* formation energy from the elements: -0.460 eV/atom

```
BaGeIrPb
1.0
4.326 0.000 0.000
0.000 4.326 0.000
0.000 0.000 12.174
Ba Ge Ir Pb
2 2 2 2
Cartesian
1.082 1.082 2.871 Ba
3.245 3.245 9.303 Ba
1.082 1.082 10.903 Ge
3.245 3.245 1.271 Ge
1.082 3.245 0.000 Ir
3.245 1.082 0.000 Ir
1.082 3.245 6.087 Pb
3.245 1.082 6.087 Pb
```

=====

Question: What is the total DFT energy (no corrections) in the second record?
Answer: -7.998 eV/atom

=====

Repeat the fourth record exactly.
Material: BaGeIrPb
Method: DFT, PBE
State: relaxed

Values from the calculation:
* space-group type: P4/nmm, No. 129
* total DFT energy (no corrections): -5.238 eV/atom
* formation energy from the elements: -0.460 eV/atom

```
BaGeIrPb
1.0
4.326 0.000 0.000
0.000 4.326 0.000
0.000 0.000 12.174
Ba Ge Ir Pb
2 2 2 2
Cartesian
1.082 1.082 2.871 Ba
3.245 3.245 9.303 Ba
1.082 1.082 10.903 Ge
3.245 3.245 1.271 Ge
1.082 3.245 0.000 Ir
3.245 1.082 0.000 Ir
1.082 3.245 6.087 Pb
3.245 1.082 6.087 Pb
```

=====

What did the first record say?
Material: BaPtS6
Method: DFT, PBE
State: relaxed

Values from the calculation:
* formation energy (no corrections): -0.570 eV per atom
* space-group type: P-1, No. 2
* total DFT energy (no corrections): -4.661 eV/atom

```
BaPtS6
1.0
5.653 0.000 0.000
-0.809 5.965 0.000
-0.447 -2.746 7.349
Ba Pt S
1 1 6
Cartesian
0.000 0.000 0.000 Ba
2.422 2.982 0.000 Pt
0.223 3.035 0.863 S
1.202 1.665 4.076 S
1.556 2.146 6.027 S
2.841 1.073 1.322 S
3.195 1.554 3.272 S
4.174 0.184 6.486 S
```

=====

What did the first record say?
Material: BaPtS6
Method: DFT, PBE
State: relaxed

Values from the calculation:
* formation energy (no corrections): -0.570 eV per atom
* space-group type: P-1, No. 2
* total DFT energy (no corrections): -4.661 eV/atom

```
BaPtS6
1.0
5.653 0.000 0.000
-0.809 5.965 0.000
-0.447 -2.746 7.349
Ba Pt S
1 1 6
Cartesian
0.000 0.000 0.000 Ba
2.422 2.982 0.000 Pt
0.223 3.035 0.863 S
1.202 1.665 4.076 S
1.556 2.146 6.027 S
2.841 1.073 1.322 S
3.195 1.554 3.272 S
4.174 0.184 6.486 S
```